No. 1
! AcCeSnO6 PBE-GGA relaxed; values from VASP
&SYSTEM
  ibrav = 0, nat = 18, ntyp = 4
/
ATOMIC_SPECIES
Ac 227.00 Ac.upf
Ce 140.12 Ce.upf
Sn 118.71 Sn.upf
O 16.00 O.upf
ATOMIC_POSITIONS angstrom
Ac 0.0000 0.0000 0.0000
Ac 2.6840 -4.3327 1.4115
Ce 2.6687 -2.3319 -2.3252
Ce 2.5005 -8.2206 -0.2667
Sn -0.1834 -3.8879 -1.6782
Sn 5.3526 -6.6646 -0.9137
O 0.5426 -2.4825 -3.0628
O -2.0813 -3.9506 -2.5802
O 6.0157 -5.3301 -2.3965
O 7.2505 -6.6019 -0.0117
O 1.7692 -3.8321 -0.9012
O 0.2819 -5.4421 -3.0152
O 5.9355 -8.1546 -2.2773
O -0.8465 -5.2224 -0.1954
O 4.8873 -5.1104 0.4233
O -0.7663 -2.3979 -0.3146
O 3.4001 -6.7204 -1.6907
O 4.6267 -8.0700 0.4709
CELL_PARAMETERS angstrom
-4.3775 -3.2776 -1.7371
4.1788 1.3904 -3.6779
5.3679 -8.6653 2.8231
! density	6.4	g cm⁻³
! crystal system	trigonal
! energy relative to the elements, uncorrected	-2.467	eV/atom
! SG	No. 163
! spin magnetization	2.09	μB per cell


No. 2
! Ac2CeTaO8 PBE-GGA relaxed; values from VASP
&SYSTEM
  ibrav = 0, nat = 12, ntyp = 4
/
ATOMIC_SPECIES
Ac 227.00 Ac.upf
Ce 140.12 Ce.upf
Ta 180.95 Ta.upf
O 16.00 O.upf
ATOMIC_POSITIONS angstrom
Ac -6.4476 -0.8153 -0.9555
Ac -2.8411 -1.7545 -1.8841
Ce -3.4777 0.9057 0.8955
Ta 0.0000 0.0000 0.0000
O -2.7280 -3.7441 -0.2126
O -1.7253 -3.8693 -2.7873
O -2.6000 0.1428 -3.6468
O -6.5607 1.1743 -2.6270
O -0.6079 -0.5118 -1.8432
O -6.6886 -2.7127 0.8072
O -5.1111 -2.6486 -1.8535
O -4.1775 0.0787 -0.9860
CELL_PARAMETERS angstrom
-0.7925 1.0280 -4.1176
-1.5407 -5.4091 -0.5129
-6.9554 1.8113 1.7909
! density	8.3	g cm⁻³
! crystal system	monoclinic
! energy relative to the elements, uncorrected	-2.968	eV/atom
! SG	No. 10
! spin magnetization	1.03	μB per cell


No. 3
! AcCeTa2O8 PBE-GGA relaxed; values from VASP
&SYSTEM
  ibrav = 0, nat = 12, ntyp = 4
/
ATOMIC_SPECIES
Ac 227.00 Ac.upf
Ce 140.12 Ce.upf
Ta 180.95 Ta.upf
O 16.00 O.upf
ATOMIC_POSITIONS angstrom
Ac -3.0827 2.5536 -0.5002
Ce 0.0000 0.0000 0.0000
Ta -0.6666 1.4447 -3.5344
Ta -3.3962 -1.0429 -1.9111
O -1.9316 1.7652 -4.8955
O -1.3403 1.1462 -1.7988
O -4.3473 0.5312 -1.4887
O -4.4704 -2.5940 -1.9422
O -2.0896 -1.2887 -0.5720
O -2.6775 -0.8201 -3.6416
O -4.9190 -1.5213 0.6352
O -4.7670 1.6312 1.2364
CELL_PARAMETERS angstrom
-0.3531 5.0412 -2.1235
-0.9800 -2.1518 -4.9454
-5.1458 -1.3787 4.6576
! density	8.0	g cm⁻³
! crystal system	tetragonal
! energy relative to the elements, uncorrected	-3.176	eV/atom
! SG	No. 82
! spin magnetization	1.00	μB per cell


No. 4
! Ac2TbCeO6 PBE-GGA relaxed; values from VASP
&SYSTEM
  ibrav = 0, nat = 20, ntyp = 4
/
ATOMIC_SPECIES
Ac 227.00 Ac.upf
Tb 158.93 Tb.upf
Ce 140.12 Ce.upf
O 16.00 O.upf
ATOMIC_POSITIONS angstrom
Ac 0.1074 6.0065 2.2005
Ac 3.1832 3.4601 6.6255
Ac 6.0442 0.3046 6.6494
Ac 2.9684 2.8509 2.2244
Tb 3.0585 0.0000 -0.0069
Tb 0.0172 3.1555 4.4319
Ce 3.0758 0.0000 4.4250
Ce 0.0000 3.1555 0.0000
O 1.8773 4.4346 0.6397
O 4.9531 5.0320 5.0647
O 4.2742 1.8765 8.2102
O 1.1985 1.2791 3.7852
O 1.8514 4.3750 3.8360
O 4.9272 5.0916 8.2609
O 4.3002 1.9360 5.0139
O 1.2244 1.2195 0.5890
O 5.3434 3.5407 2.2545
O 2.3022 5.9259 6.6932
O 0.8081 2.7703 6.5954
O 3.8494 0.3852 2.1567
CELL_PARAMETERS angstrom
6.1171 0.0000 -0.0138
0.0000 6.3111 0.0000
0.0345 0.0000 8.8637
! density	8.2	g cm⁻³
! crystal system	monoclinic
! energy relative to the elements, uncorrected	-3.346	eV/atom
! SG	No. 14
! spin magnetization	1.98	μB per cell


No. 5
! AcCeTcO6 PBE-GGA relaxed; values from VASP
&SYSTEM
  ibrav = 0, nat = 18, ntyp = 4
/
ATOMIC_SPECIES
Ac 227.00 Ac.upf
Ce 140.12 Ce.upf
Tc 98.00 Tc.upf
O 16.00 O.upf
ATOMIC_POSITIONS angstrom
Ac 0.5783 -3.9851 -0.5602
Ac -0.2526 -6.0229 4.6611
Ce 0.0000 0.0000 0.0000
Ce 1.7184 -2.8003 3.1581
Tc -1.9710 -3.2226 1.5031
Tc 2.2967 -6.7854 2.5978
O -1.8888 -3.5579 -0.4459
O -3.8804 -2.7143 1.3857
O 2.6417 -6.9514 0.6559
O 4.2060 -7.2937 2.7152
O -0.0356 -3.4908 1.8191
O -2.3017 -5.1733 1.5603
O 1.7293 -8.6653 2.8467
O -2.3160 -3.0566 3.4450
O 2.6273 -4.8347 2.5406
O -1.4037 -1.3427 1.2542
O 0.3612 -6.5171 2.2818
O 2.2145 -6.4501 4.5469
CELL_PARAMETERS angstrom
-5.3795 -1.0600 1.9873
2.2684 -3.3475 -4.2025
3.4368 -5.6005 6.3161
! density	6.9	g cm⁻³
! crystal system	trigonal
! energy relative to the elements, uncorrected	-2.491	eV/atom
! SG	No. 163
! spin magnetization	4.01	μB per cell


No. 6
! AcCeTc2O8 PBE-GGA relaxed; values from VASP
&SYSTEM
  ibrav = 0, nat = 12, ntyp = 4
/
ATOMIC_SPECIES
Ac 227.00 Ac.upf
Ce 140.12 Ce.upf
Tc 98.00 Tc.upf
O 16.00 O.upf
ATOMIC_POSITIONS angstrom
Ac 0.0000 0.0000 0.0000
Ce 0.0000 0.0000 3.6959
Tc 2.9668 1.7129 1.4911
Tc 0.0000 3.4258 5.9008
O 0.0000 3.4258 0.3027
O 1.4187 0.8236 2.0400
O 4.5110 0.8168 2.0400
O 2.9668 1.7129 7.0892
O -1.5442 4.3219 5.3518
O 1.5481 4.3150 5.3518
O -0.0040 1.6404 5.3518
O 2.9708 3.4982 2.0400
CELL_PARAMETERS angstrom
5.9336 0.0000 0.0000
-2.9668 5.1387 0.0000
0.0000 0.0000 7.3919
! density	5.1	g cm⁻³
! crystal system	trigonal
! energy relative to the elements, uncorrected	-2.086	eV/atom
! SG	No. 164
! spin magnetization	4.03	μB per cell